No. 1
Density functional theory data (PBEsol) for K2HfTeS after structural relaxation.

Calculated values
Total energy = -0.141 Ha/atom
Space-group type = P4/mmm
Formation energy from raw total energies = 0.293 eV per atom

Cell and atoms, written as POSCAR:
```
K2HfTeS
1.0
6.170 0.000 0.000
0.000 6.170 0.000
0.000 0.000 5.356
K Hf Te S
2 1 1 1
Cartesian
0.000 3.085 0.000 K
3.085 0.000 0.000 K
0.000 0.000 2.678 Hf
0.000 0.000 0.000 Te
3.085 3.085 2.678 S
```

---

No. 2
Density functional theory data (PBEsol) for H14RuS2N4O6 after structural relaxation.

Calculated values
Total energy = -0.206 Ha/atom
Space-group type = P2_1/c

Cell and atoms, written as POSCAR:
```
H14RuS2N4O6
1.0
6.196 0.000 0.000
0.000 6.830 0.000
-4.737 0.000 10.435
H Ru S N O
28 2 4 8 12
Cartesian
-1.329 0.125 3.500 H
-3.698 3.290 8.718 H
-1.548 1.412 5.444 H
0.820 2.004 0.227 H
-2.447 4.069 7.921 H
-0.079 6.177 2.703 H
-0.089 0.983 2.886 H
-2.458 2.432 8.103 H
-0.088 3.593 4.236 H
-2.457 6.653 9.454 H
-1.093 0.818 6.947 H
1.276 2.597 1.729 H
1.950 1.214 1.138 H
-0.418 2.202 6.355 H
1.877 4.629 4.080 H
-0.492 5.617 9.297 H
0.183 4.233 8.706 H
2.551 6.013 3.488 H
3.915 0.177 0.981 H
1.547 3.238 6.199 H
3.916 4.398 2.332 H
1.548 5.848 7.549 H
1.538 0.654 7.732 H
3.906 2.762 2.514 H
0.639 4.827 10.208 H
3.007 5.419 4.991 H
5.156 3.541 1.718 H
2.788 6.705 6.935 H
0.729 0.000 5.218 Ru
3.098 3.415 0.000 Ru
-0.464 5.048 5.830 S
1.904 5.198 0.613 S
-0.446 1.632 9.822 S
1.923 1.783 4.605 S
-0.307 0.104 3.373 N
-2.676 3.312 8.591 N
-0.747 1.260 6.081 N
1.622 2.155 0.863 N
-0.163 4.676 9.572 N
2.205 5.570 4.354 N
4.134 3.519 1.845 N
1.766 6.727 7.062 N
0.585 4.927 1.242 O
-1.783 5.319 6.459 O
-0.894 4.146 4.558 O
-3.263 6.100 9.776 O
-1.212 0.639 8.955 O
1.156 2.776 3.738 O
0.302 4.054 6.698 O
2.671 6.192 1.480 O
4.721 0.731 0.659 O
2.353 2.684 5.877 O
3.242 1.512 3.976 O
0.873 1.903 9.193 O
```

---

No. 3
Density functional theory data (PBEsol) for Mn12Co17 after structural relaxation.

Calculated values
Total energy = -0.313 Ha/atom
Calculated formation energy = 0.0606 eV per atom
Space-group type = I-43m

Cell and atoms, written as POSCAR:
```
Mn12Co17
1.0
-4.195 4.195 4.195
4.195 -4.195 4.195
4.195 4.195 -4.195
Mn Co
12 17
Cartesian
2.355 0.756 -0.756 Mn
2.355 -0.756 0.756 Mn
6.034 0.756 0.756 Mn
0.756 2.355 -0.756 Mn
0.756 -0.756 2.355 Mn
-0.756 2.355 0.756 Mn
-0.756 0.756 2.355 Mn
3.438 3.438 1.840 Mn
3.438 1.840 3.438 Mn
0.756 6.034 0.756 Mn
0.756 0.756 6.034 Mn
1.840 3.438 3.438 Mn
0.000 0.000 0.000 Co
2.744 2.744 -2.744 Co
4.482 1.226 -1.226 Co
2.744 -2.744 2.744 Co
4.482 -1.226 1.226 Co
3.907 1.226 1.226 Co
2.968 2.968 -0.287 Co
2.968 -0.287 2.968 Co
1.450 1.450 1.450 Co
1.226 4.482 -1.226 Co
1.226 -1.226 4.482 Co
1.226 3.907 1.226 Co
1.226 1.226 3.907 Co
-2.744 2.744 2.744 Co
-1.226 4.482 1.226 Co
-1.226 1.226 4.482 Co
-0.287 2.968 2.968 Co
```

---

No. 4
Density functional theory data (PBEsol) for HgBiIO2 after structural relaxation.

Calculated values
Total energy = -0.135 Ha/atom
Space-group type = P4/mmm
Formation energy from raw total energies = -0.254 eV per atom

Cell and atoms, written as POSCAR:
```
HgBiIO2
1.0
4.269 0.000 0.000
0.000 4.269 0.000
0.000 0.000 6.550
Hg Bi I O
1 1 1 2
Cartesian
0.000 0.000 0.000 Hg
2.134 2.134 3.275 Bi
2.134 2.134 0.000 I
0.000 2.134 3.275 O
2.134 0.000 3.275 O
```

---

Number 1: Fermi-level density of states 0.7699 states/eV/atom. Number 2: Fermi-level density of states 0.0000 states/eV/atom. Number 3: Fermi-level density of states 1.0124 states/eV/atom. Number 4: Fermi-level density of states 0.2478 states/eV/atom.